Record 1
Ce2GaPRh6: relaxed, PBE.

```
Ce2GaPRh6
1.0
-1.611 -4.926 2.057
4.702 0.987 6.048
-6.346 3.871 4.301
Ce Ga P Rh
4 2 2 12
direct
0.500 0.731 0.259
0.000 0.269 0.759
0.500 0.731 0.741
0.000 0.269 0.241
0.000 0.711 0.500
0.500 0.289 0.000
0.500 0.221 0.500
0.000 0.779 0.000
0.500 0.105 0.251
0.500 0.105 0.749
0.000 0.895 0.249
0.000 0.895 0.751
0.248 0.984 0.500
0.752 0.984 0.500
0.245 0.446 0.500
0.755 0.446 0.500
0.745 0.554 0.000
0.255 0.554 0.000
0.252 0.016 0.000
0.748 0.016 0.000
```

SG = No. 59
Formation energy = -0.68 eV per atom

Record 2
Tb4Ga12Os: relaxed, PBE.

```
Tb4Ga12Os
1.0
7.053 0.000 -2.494
-3.527 6.108 -2.494
0.000 0.000 7.481
Tb Ga Os
4 12 1
direct
0.000 0.000 0.500
0.500 0.000 0.000
0.500 0.500 0.500
0.000 0.500 0.000
0.000 0.291 0.291
0.000 0.709 0.709
0.709 0.709 0.000
0.291 0.291 0.000
0.291 0.000 0.291
0.709 0.000 0.709
0.500 0.250 0.750
0.500 0.750 0.250
0.750 0.250 0.500
0.250 0.750 0.500
0.750 0.500 0.250
0.250 0.500 0.750
0.000 0.000 0.000
```

SG = No. 229
Formation energy = -0.55 eV per atom

Record 3
CeZn9Pt2: relaxed, PBE.

```
CeZn9Pt2
1.0
2.919 0.000 0.000
0.000 8.831 0.000
0.000 -4.416 7.648
Ce Zn Pt
1 9 2
direct
0.000 0.000 0.000
0.500 0.816 0.184
0.000 0.000 0.500
0.000 0.500 0.500
0.500 0.816 0.632
0.500 0.184 0.816
0.500 0.632 0.816
0.500 0.184 0.368
0.000 0.500 0.000
0.500 0.368 0.184
0.000 0.667 0.333
0.000 0.333 0.667
```

Offset from the most stable computed form = 107 meV/atom
SG = No. 191
Formation energy = -0.30 eV per atom

Record 4
Sc2TaHg: relaxed, PBE.

```
Sc2TaHg
1.0
5.321 0.001 0.000
1.749 5.026 0.000
-3.535 -2.514 3.083
Hg Sc Ta
1 2 1
direct
0.750 0.250 0.500
0.000 0.000 0.000
0.500 0.500 0.000
0.250 0.750 0.500
```

SG = No. 139
Formation energy = 0.07 eV per atom

Record 5
Ac2CePb2N2: relaxed, PBE.

```
Ac2CePb2N2
1.0
4.590 0.000 0.000
0.000 4.590 0.000
-2.295 -2.295 8.791
Ac Ce Pb N
2 1 2 2
direct
0.401 0.401 0.802
0.599 0.599 0.198
0.000 0.000 0.000
0.210 0.210 0.421
0.790 0.790 0.579
0.000 0.500 0.000
0.500 0.000 0.000
```

Uncorrected energy = -43.918 eV per formula unit
SG = No. 139

Record 6
BaSnO2: relaxed, PBE.

```
BaSnO2
1.0
-2.078 -0.714 6.973
0.948 -3.096 6.555
1.528 0.692 7.116
Ba O Sn
1 2 1
direct
0.500 0.500 0.500
0.902 0.902 0.902
0.098 0.098 0.098
0.000 0.000 0.000
```

Uncorrected energy = -22.274 eV per formula unit
SG = No. 166

no.,spin magnetization (μB/f.u.)
1,0.1
2,0.0
3,0.5
4,0.0
5,0.0
6,0.0